## CdIO5 (PBE-GGA)

Data for a relaxed structure of CdIO5.

Cell lengths 9.1007, 6.4160, 7.7028 Å; angles 90.00, 115.41, 90.00 degrees
With the nearest neighbours (Å) after each atom.
Space group C2/c (No. 15)
Inequivalent atoms, fractional coordinates:
1 Cd 0.0000 0.0385 0.2500 (multiplicity 4)  7 O 2.29-2.49
2 I 0.0000 0.5000 0.0000 (multiplicity 4)  6 O 1.84-2.01
3 O 0.0000 0.4126 0.2500 (multiplicity 4)  2 I 2.01
4 O 0.0241 0.2133 0.9747 (multiplicity 8)  1 I 1.87
5 O 0.2217 0.4663 0.6205 (multiplicity 8)  1 I 1.84

Properties
- final energy (eV/cell) = -115.84

## NpPaGaPd (PBE-GGA)

Data for a relaxed structure of NpPaGaPd.

Cell lengths 6.8842, 6.8842, 6.8842 Å; angles 90.00, 90.00, 90.00 degrees
With the nearest neighbours (Å) after each atom.
Space group F-43m (No. 216)
Inequivalent atoms, fractional coordinates:
1 Np 0.0000 0.0000 0.0000 (multiplicity 4)  4 Pa 2.98, 4 Ga 2.98
2 Pa 0.2500 0.2500 0.2500 (multiplicity 4)  4 Np 2.98, 4 Pd 2.98
3 Ga 0.2500 0.2500 0.7500 (multiplicity 4)  4 Np 2.98, 4 Pd 2.98
4 Pd 0.0000 0.0000 0.5000 (multiplicity 4)  4 Pa 2.98, 4 Ga 2.98

Properties
- final energy (eV/cell) = -124.50
- ΔE_f (eV/f.u.) = -0.5

## NiAsIrBr2 (PBE-GGA)

Data for a relaxed structure of NiAsIrBr2.

Cell lengths 4.7432, 4.7432, 4.6585 Å; angles 90.00, 90.00, 90.00 degrees
With the nearest neighbours (Å) after each atom.
Space group P4/mmm (No. 123)
Inequivalent atoms, fractional coordinates:
1 Ni 0.0000 0.0000 0.0000 (multiplicity 1)  2 As 2.33, 4 Br 2.37
2 As 0.0000 0.0000 0.5000 (multiplicity 1)  2 Ni 2.33
3 Ir 0.5000 0.5000 0.5000 (multiplicity 1)  8 Br 3.32, 4 As 3.35
4 Br 0.0000 0.5000 0.0000 (multiplicity 2)  2 Ni 2.37

Properties
- final energy (eV/cell) = -17.29
- excess energy over the best structure of this formula in the dataset (eV per formula unit) = 1.10